## LiAcGa2Pd2 (PBE)

Data for a relaxed LiAcGa2Pd2 crystal.

```
LiAcGa2Pd2
1.0
4.4537 0.0000 0.0000
-2.2268 3.8570 0.0000
0.0000 0.0000 7.0670
Li Ac Ga Pd
1 1 2 2
Direct
0.0000 0.0000 0.0000 Li
0.0000 0.0000 0.5000 Ac
0.3333 0.6667 0.8222 Ga
0.6667 0.3333 0.1778 Ga
0.3333 0.6667 0.1889 Pd
0.6667 0.3333 0.8111 Pd
```

Output
space-group type	P-3m1 (164)
E_form	-69	kJ per mole of atoms
crystal system	trigonal
raw total energy	-4.4622	eV per atom
Fermi-level density of states	3.29	states/eV per cell